V3InGe | GGA-PBE | optimized geometry

Properties
Relative energy among the computed polymorphs in eV/atom: 0.000
DFT formation energy in meV/atom: 701
Total magnetization in μB per atom: 0.89

Lattice parameters (Å, degrees): 4.586 4.586 4.586 90.00 90.00 90.00
Space group Pm-3m (No. 221)
Unique sites:
1 V 0.000 0.000 0.500
2 In 0.500 0.500 0.500
3 Ge 0.000 0.000 0.000